This record from the Alexandria database describes crystalline Tb2AlFe2Ni5 at its relaxed geometry. The functional is PBE-GGA.

Summary:
* N(E_F): 0.913 states/eV/atom
* formation enthalpy at 0 K: -0.19 eV per atom
* M_tot: 11.76 μB/cell
* total DFT energy (no corrections): -6.0776 eV/atom

a b c (Å): 8.984 8.984 3.660
angles (deg): 90.00 90.00 90.00
Positions (direct):
Tb  0.180  0.320  0.000
Tb  0.320  0.820  0.000
Tb  0.680  0.180  0.000
Tb  0.820  0.680  0.000
Al  0.000  0.000  0.000
Al  0.500  0.500  0.000
Fe  0.119  0.619  0.000
Fe  0.381  0.119  0.000
Fe  0.619  0.881  0.000
Fe  0.881  0.381  0.000
Ni  0.000  0.500  0.500
Ni  0.059  0.793  0.500
Ni  0.207  0.059  0.500
Ni  0.293  0.559  0.500
Ni  0.441  0.293  0.500
Ni  0.500  0.000  0.500
Ni  0.559  0.707  0.500
Ni  0.707  0.441  0.500
Ni  0.793  0.941  0.500
Ni  0.941  0.207  0.500